Entry 1:
Computed, not measured: crystalline Nd6SmY8 at its relaxed geometry at the PBE level of DFT.

a b c (Å): 8.796 8.796 8.796
angles (deg): 62.79 62.79 62.79
Atoms (fractional coordinates):
Nd 0.038 0.603 0.729
Nd 0.271 0.962 0.397
Nd 0.397 0.271 0.962
Nd 0.603 0.729 0.038
Nd 0.729 0.038 0.603
Nd 0.962 0.397 0.271
Sm 0.500 0.500 0.500
Y 0.077 0.077 0.077
Y 0.215 0.612 0.251
Y 0.251 0.215 0.612
Y 0.388 0.749 0.785
Y 0.612 0.251 0.215
Y 0.749 0.785 0.388
Y 0.785 0.388 0.749
Y 0.923 0.923 0.923

Computed properties:
space-group type	R-3
E_form	171	kJ/mol of formula units

---

Entry 2:
Computed, not measured: crystalline LiZrCd2 at its relaxed geometry at the PBE level of DFT.

a b c (Å): 3.066 3.066 30.773
angles (deg): 90.00 90.00 120.00
Atoms (fractional coordinates):
Li 0.000 0.000 0.000
Li 0.333 0.667 0.667
Li 0.667 0.333 0.333
Zr 0.000 0.000 0.167
Zr 0.333 0.667 0.834
Zr 0.667 0.333 0.500
Cd 0.000 0.000 0.413
Cd 0.000 0.000 0.588
Cd 0.333 0.667 0.080
Cd 0.333 0.667 0.255
Cd 0.667 0.333 0.746
Cd 0.667 0.333 0.921

Computed properties:
space-group type	R3m
E_form	-29	kJ/mol of formula units
energy above the lowest structure with this stoichiometry	95	meV/atom

---

Entry 3:
Computed, not measured: crystalline PmNd6Sm4 at its relaxed geometry at the PBE level of DFT.

a b c (Å): 10.007 10.007 10.007
angles (deg): 141.11 141.11 56.18
Atoms (fractional coordinates):
Pm 0.000 0.000 0.000
Nd 0.000 0.500 0.500
Nd 0.190 0.190 0.642
Nd 0.452 0.810 0.000
Nd 0.500 0.000 0.500
Nd 0.548 0.548 0.358
Nd 0.810 0.452 0.000
Sm 0.010 0.633 0.000
Sm 0.367 0.367 0.377
Sm 0.633 0.010 0.000
Sm 0.990 0.990 0.623

Computed properties:
space-group type	I-42m
E_form	301	kJ/mol of formula units

---

| no. | total magnetic moment (μB/f.u.) |
| --- | --- |
| 1 | 0.00 |
| 2 | 0.00 |
| 3 | 0.00 |